Model a:
## TlAsPb (PBEsol)

Data for an optimized crystal structure of TlAsPb.

The crystal system is tetragonal. As for the total magnetization: 0.00 μB per cell. The value obtained for the volume is 80 Å³/cell.

Cell and atoms, written as extended XYZ:
```
3
Lattice="-1.8217 1.8217 6.0041 1.8217 -1.8217 6.0041 1.8217 1.8217 -6.0041" Properties=species:S:1:pos:R:3 pbc="T T T"
Tl 0.0000 0.0000 0.0000
As 0.0000 0.0000 4.1033
Pb 0.0000 0.0000 8.5824
```



Model b:
## TlAsPb (PBEsol)

Data for an optimized crystal structure of TlAsPb.

The crystal system is trigonal. As for the total magnetization: 0.00 μB per cell. The value obtained for the volume is 85 Å³/cell.

Cell and atoms, written as extended XYZ:
```
3
Lattice="4.2082 0.0000 0.0000 -2.1041 3.6444 0.0000 0.0000 0.0000 5.5745" Properties=species:S:1:pos:R:3 pbc="T T T"
Tl 0.0000 0.0000 0.0000
As 0.0000 2.4296 3.8667
Pb 2.1041 1.2148 2.3706
```



Model c:
## TlAsPb (PBEsol)

Data for an optimized crystal structure of TlAsPb.

The crystal system is cubic. As for the total magnetization: 0.00 μB per cell. The value obtained for the volume is 89 Å³/cell.

Cell and atoms, written as extended XYZ:
```
3
Lattice="0.0000 3.5487 3.5487 3.5487 0.0000 3.5487 3.5487 3.5487 0.0000" Properties=species:S:1:pos:R:3 pbc="T T T"
Tl 0.0000 0.0000 0.0000
As 5.3231 5.3231 5.3231
Pb 3.5487 3.5487 3.5487
```



Most stable of them? model b.



Model a:
## TlAs2Pb (PBEsol)

Data for an optimized crystal structure of TlAs2Pb.

The crystal system is trigonal. As for the total magnetization: 0.00 μB per cell. The value obtained for the volume is 101 Å³/cell.

Cell and atoms, written as extended XYZ:
```
4
Lattice="1.7960 1.0369 9.0774 -1.7960 1.0369 9.0774 0.0000 -2.0739 9.0774" Properties=species:S:1:pos:R:3 pbc="T T T"
Tl 0.0000 0.0000 0.0000
As 0.0000 0.0000 6.6002
As 0.0000 0.0000 14.2479
Pb 0.0000 0.0000 20.8571
```



Model b:
## TlAs2Pb (PBEsol)

Data for an optimized crystal structure of TlAs2Pb.

The crystal system is monoclinic. As for the total magnetization: 0.00 μB per cell. The value obtained for the volume is 99 Å³/cell.

Cell and atoms, written as extended XYZ:
```
4
Lattice="5.7557 -1.7803 0.0000 5.7557 1.7803 0.0000 -1.9594 0.0000 4.8522" Properties=species:S:1:pos:R:3 pbc="T T T"
Tl 0.0000 0.0000 0.0000
As 4.0802 0.0000 2.1769
As 8.4232 0.0000 1.0521
Pb 1.1313 0.0000 3.1978
```



Model c:
## TlAs2Pb (PBEsol)

Data for an optimized crystal structure of TlAs2Pb.

The crystal system is monoclinic. As for the total magnetization: 0.00 μB per cell. The value obtained for the volume is 107 Å³/cell.

Cell and atoms, written as extended XYZ:
```
4
Lattice="5.5806 -1.7844 0.0000 5.5806 1.7844 0.0000 -1.7823 0.0000 5.3755" Properties=species:S:1:pos:R:3 pbc="T T T"
Tl 0.0000 0.0000 0.0000
As 1.6164 0.0000 3.5295
As 7.7624 0.0000 1.8460
Pb 4.6894 0.0000 2.6878
```



Most stable of them? model a.



Model a:
## Tl2AsPb (PBEsol)

Data for an optimized crystal structure of Tl2AsPb.

The crystal system is tetragonal. As for the total magnetization: 0.00 μB per cell. The value obtained for the volume is 107 Å³/cell.

Cell and atoms, written as extended XYZ:
```
4
Lattice="3.7306 0.0000 0.0000 0.0000 3.7306 0.0000 0.0000 0.0000 7.6880" Properties=species:S:1:pos:R:3 pbc="T T T"
Tl 0.0000 0.0000 0.0000
Tl 1.8653 1.8653 2.1763
As 0.0000 0.0000 3.9802
Pb 1.8653 1.8653 5.4636
```



Model b:
## Tl2AsPb (PBEsol)

Data for an optimized crystal structure of Tl2AsPb.

The crystal system is orthorhombic. As for the total magnetization: 0.00 μB per cell. The value obtained for the volume is 108 Å³/cell.

Cell and atoms, written as extended XYZ:
```
4
Lattice="-1.9677 2.5824 5.3324 1.9677 -2.5824 5.3324 1.9677 2.5824 -5.3324" Properties=species:S:1:pos:R:3 pbc="T T T"
Tl 0.0000 0.0000 0.0000
Tl 0.0000 2.5824 2.2735
As 1.9677 0.0000 2.4681
Pb 0.0000 0.0000 4.5553
```



Model c:
## Tl2AsPb (PBEsol)

Data for an optimized crystal structure of Tl2AsPb.

The crystal system is tetragonal. As for the total magnetization: 0.00 μB per cell. The value obtained for the volume is 106 Å³/cell.

Cell and atoms, written as extended XYZ:
```
4
Lattice="4.5456 0.0000 0.0000 0.0000 4.5456 0.0000 0.0000 0.0000 5.1096" Properties=species:S:1:pos:R:3 pbc="T T T"
Tl 0.0000 2.2728 0.0000
Tl 2.2728 0.0000 0.0000
As 0.0000 0.0000 2.5548
Pb 2.2728 2.2728 2.5548
```



Most stable of them? model a.